Entry 1:
The following is a GGA-PBE calculation of a relaxed structure of Sc3Sb2Se, from the Alexandria database.

Lattice parameters (Å, degrees): 4.0496 5.7889 7.0584 114.21 106.67 90.00
Fractional positions:
Sc1 0.8421 0.3421 0.1843
Sb1 0.8302 0.8302 0.1604
Sb2 0.1698 0.1698 0.8396
Se1 0.5000 0.5000 0.5000
Sc2 0.1579 0.6579 0.8157
Sc3 0.5000 0.0000 0.5000

Calculated values
Electronic total energy, eV/cell: -37.7

***

Entry 2:
The following is a GGA-PBE calculation of a relaxed structure of ScSb2Se, from the Alexandria database.

Lattice parameters (Å, degrees): 4.0993 4.1061 5.7815 90.00 90.00 90.00
Fractional positions:
Sc1 0.5000 0.5000 0.2500
Se1 0.5000 0.5000 0.7500
Sb1 0.0000 0.0000 0.0042
Sb2 0.0000 0.0000 0.4958

Calculated values
Electronic total energy, eV/cell: -19.6

***

Entry 3:
The following is a GGA-PBE calculation of a relaxed structure of Sc3Sb2Se2, from the Alexandria database.

Lattice parameters (Å, degrees): 3.9152 7.1638 7.7008 115.15 104.73 90.00
Fractional positions:
Se1 0.1297 0.3220 0.2595
Sb1 0.6277 0.8101 0.2553
Sc1 0.2629 0.7329 0.5259
Sb2 0.3723 0.1899 0.7447
Sc2 0.7371 0.2671 0.4741
Sc3 0.0000 0.5000 0.0000
Se2 0.8703 0.6780 0.7405

Calculated values
Electronic total energy, eV/cell: -42.2

***

Entry 4:
The following is a GGA-PBE calculation of a relaxed structure of ScSb2Se, from the Alexandria database.

Lattice parameters (Å, degrees): 5.9573 5.9573 5.5967 66.91 66.91 35.25
Fractional positions:
Se1 0.1723 0.1723 0.2345
Sb1 0.9863 0.9863 0.0675
Sb2 0.8076 0.8076 0.6078
Sc1 0.5338 0.5338 0.5903

Calculated values
Electronic total energy, eV/cell: -20.4

***

Entry 5:
The following is a GGA-PBE calculation of a relaxed structure of ScSb2Se, from the Alexandria database.

Lattice parameters (Å, degrees): 6.0209 6.0209 8.8089 70.02 70.02 90.00
Fractional positions:
Se1 0.0000 0.0000 0.0000
Se2 0.7500 0.2500 0.5000
Sb1 0.1211 0.6250 0.2500
Sc1 0.5000 0.5000 0.0000
Sb2 0.6289 0.1250 0.2500
Sc2 0.2500 0.7500 0.5000
Sb3 0.3750 0.3711 0.7500
Sb4 0.8750 0.8789 0.7500

Calculated values
Electronic total energy, eV/cell: -35.7

***

Entry 6:
The following is a GGA-PBE calculation of a relaxed structure of ScSb3Se, from the Alexandria database.

Lattice parameters (Å, degrees): 5.4350 5.4350 5.4350 90.00 90.00 90.00
Fractional positions:
Sb1 0.0000 0.0000 0.5000
Se1 0.5000 0.5000 0.5000
Sb2 0.0000 0.5000 0.0000
Sb3 0.5000 0.0000 0.0000
Sc1 0.0000 0.0000 0.0000

Calculated values
E above lowest polymorph, kJ per mole of atoms: 0.0
Electronic total energy, eV/cell: -20.3